Entry 1:
DFT (PBE) results for a geometry-optimized Te4Ir3Se2 structure. Values from VASP.

Structure (Quantum ESPRESSO input):
```
&SYSTEM
  ibrav = 0, nat = 9, ntyp = 3
/
ATOMIC_SPECIES
Te 127.60 Te.upf
Ir 192.22 Ir.upf
Se 78.96 Se.upf
CELL_PARAMETERS angstrom
9.806 -1.994 0.000
9.806 1.994 0.000
-0.029 0.000 5.386
ATOMIC_POSITIONS crystal
Te 0.045 0.045 0.283
Te 0.373 0.373 0.200
Te 0.627 0.627 0.800
Te 0.955 0.955 0.717
Ir 0.164 0.164 0.509
Ir 0.500 0.500 0.000
Ir 0.836 0.836 0.491
Se 0.282 0.282 0.718
Se 0.718 0.718 0.282
```

As for the space group: C2/m (12). The calculation puts the electronic total energy at -5.403 eV/atom. The volume is 210.59 Å³ per cell. The calculation puts the excess energy over the best structure of this formula in the dataset at 0.032 eV per atom. As for the size of the total moment: 0.012 μB/f.u.

Entry 2:
DFT (PBE) results for a geometry-optimized HoEr2Co2B2N3 structure. Values from VASP.

Structure (Quantum ESPRESSO input):
```
&SYSTEM
  ibrav = 0, nat = 10, ntyp = 5
/
ATOMIC_SPECIES
Ho 164.93 Ho.upf
Er 167.26 Er.upf
Co 58.93 Co.upf
B 10.81 B.upf
N 14.01 N.upf
CELL_PARAMETERS angstrom
-1.719 1.719 9.894
1.719 -1.719 9.894
1.719 1.719 -9.894
ATOMIC_POSITIONS crystal
Ho 0.000 0.000 0.000
Er 0.377 0.377 0.000
Er 0.623 0.623 0.000
Co 0.250 0.750 0.500
Co 0.750 0.250 0.500
B 0.193 0.193 0.000
B 0.807 0.807 0.000
N 0.117 0.117 0.000
N 0.500 0.500 0.000
N 0.883 0.883 0.000
```

As for the space group: I4/mmm (139). The calculation puts the electronic total energy at -7.875 eV/atom. The volume is 117.01 Å³ per cell. As for the size of the total moment: 0.021 μB/f.u.

Entry 3:
DFT (PBE) results for a geometry-optimized PaAl2 structure. Values from VASP.

Structure (Quantum ESPRESSO input):
```
&SYSTEM
  ibrav = 0, nat = 6, ntyp = 2
/
ATOMIC_SPECIES
Pa 231.04 Pa.upf
Al 26.98 Al.upf
CELL_PARAMETERS angstrom
0.000 3.890 3.890
3.890 0.000 3.890
3.890 3.890 0.000
ATOMIC_POSITIONS crystal
Pa 0.125 0.125 0.125
Pa 0.875 0.875 0.875
Al 0.000 0.500 0.500
Al 0.500 0.000 0.500
Al 0.500 0.500 0.000
Al 0.500 0.500 0.500
```

As for the space group: Fd-3m (227). The calculation puts the electronic total energy at -5.969 eV/atom. The volume is 117.74 Å³ per cell. As for the size of the total moment: 0.155 μB/f.u.

Entry 4:
DFT (PBE) results for a geometry-optimized ZrU structure. Values from VASP.

Structure (Quantum ESPRESSO input):
```
&SYSTEM
  ibrav = 0, nat = 12, ntyp = 2
/
ATOMIC_SPECIES
Zr 91.22 Zr.upf
U 238.03 U.upf
CELL_PARAMETERS angstrom
6.106 0.000 0.000
0.000 5.064 0.000
-0.641 0.000 8.560
ATOMIC_POSITIONS crystal
Zr 0.043 0.250 0.093
Zr 0.241 0.250 0.763
Zr 0.456 0.750 0.917
Zr 0.544 0.250 0.083
Zr 0.759 0.750 0.237
Zr 0.957 0.750 0.907
U 0.057 0.750 0.560
U 0.266 0.750 0.302
U 0.375 0.250 0.414
U 0.625 0.750 0.586
U 0.734 0.250 0.698
U 0.943 0.250 0.440
```

Its formation energy from the elements is 147 meV/atom. As for the space group: P2_1/m (11). The calculation puts the electronic total energy at -9.775 eV/atom. The volume is 264.68 Å³ per cell. The calculation puts the excess energy over the best structure of this formula in the dataset at 0.032 eV per atom. As for the size of the total moment: 0.065 μB/f.u.